# 1
# LiNb2MoPt

LiNb2MoPt after structural relaxation (GGA-PBE, Alexandria).

Cell lengths 4.9398, 4.9398, 4.8481 Å; angles 90.00, 90.00, 90.00 degrees
Fractional positions:
Li: 0.0000 0.0000 0.0000
Nb: 0.0000 0.5000 0.5000
Nb: 0.5000 0.0000 0.5000
Mo: 0.5000 0.5000 0.0000
Pt: 0.5000 0.5000 0.5000

Results
Crystal system = tetragonal
DOS at the Fermi energy = 8.1 states/eV/cell
Space group = P4/mmm
Calculated total energy = -6.52 eV per atom
Density = 6.8 g/cm³

---

# 2
# LiMnV2

LiMnV2 after structural relaxation (GGA-PBE, Alexandria).

Cell lengths 9.7051, 9.7051, 9.7051 Å; angles 15.10, 15.10, 15.10 degrees
Fractional positions:
Li: 0.0000 0.0000 0.0000
Mn: 0.5000 0.5000 0.5000
V: 0.0905 0.0905 0.0905
V: 0.9095 0.9095 0.9095

Results
Energy relative to the lowest polymorph listed for this composition = 125 meV per atom
Crystal system = trigonal
DOS at the Fermi energy = 4.2 states/eV/cell
Space group = R-3m
Density = 5.0 g/cm³

---

# 3
# Sm2Co2Ge2N

Sm2Co2Ge2N after structural relaxation (GGA-PBE, Alexandria).

Cell lengths 5.8295, 5.8295, 6.9499 Å; angles 125.51, 125.51, 39.15 degrees
Fractional positions:
Sm: 0.0577 0.0577 0.2844
Sm: 0.9423 0.9423 0.7156
Co: 0.3072 0.3072 0.9190
Co: 0.6928 0.6928 0.0810
Ge: 0.3370 0.3370 0.2935
Ge: 0.6630 0.6630 0.7065
N: 0.5000 0.5000 0.0000

Results
Energy relative to the elements, uncorrected = -5.34 eV per formula unit
Crystal system = monoclinic
DOS at the Fermi energy = 4.7 states/eV/cell
Space group = C2/m
Density = 8.2 g/cm³

---

# 4
# LaPr2DyHo4

LaPr2DyHo4 after structural relaxation (GGA-PBE, Alexandria).

Cell lengths 9.5557, 9.5557, 9.5557 Å; angles 138.14, 102.87, 91.86 degrees
Fractional positions:
La: 0.0000 0.0000 0.0000
La: 0.5000 0.0000 0.5000
Pr: 0.0000 0.5000 0.5000
Pr: 0.5000 0.0000 0.0000
Pr: 0.5000 0.5000 0.0000
Pr: 0.5000 0.5000 0.5000
Dy: 0.0000 0.0000 0.5000
Dy: 0.0000 0.5000 0.0000
Ho: 0.2449 0.2461 0.5012
Ho: 0.2451 0.2497 0.9954
Ho: 0.2449 0.7437 0.9988
Ho: 0.2457 0.7503 0.4954
Ho: 0.7543 0.2497 0.5046
Ho: 0.7551 0.2563 0.0012
Ho: 0.7549 0.7503 0.0046
Ho: 0.7551 0.7539 0.4988

Results
Crystal system = orthorhombic
DOS at the Fermi energy = 38.3 states/eV/cell
Space group = Imma
Calculated total energy = -4.28 eV per atom
Density = 7.6 g/cm³